Crystalline LaRe2Rh2 at its relaxed geometry, computed with PBE-GGA.

## Properties
Space group: I4/mmm
DFT formation energy (kcal/mol of atoms): 0.45
E above lowest polymorph (meV/atom): 0.0
Uncorrected energy (eV for the cell shown): -44.43

Geometry as POSCAR:
```
LaRe2Rh2
1.0
-1.890 1.890 6.482
1.890 -1.890 6.482
1.890 1.890 -6.482
La Re Rh
1 2 2
direct
0.000 0.000 0.000
0.250 0.750 0.500
0.750 0.250 0.500
0.396 0.396 0.000
0.604 0.604 0.000
```


Crystalline LaReRh2 at its relaxed geometry, computed with PBE-GGA.

## Properties
Space group: Pmmm
DFT formation energy (kcal/mol of atoms): -0.67
E above lowest polymorph (meV/atom): 16.1
Uncorrected energy (eV for the cell shown): -32.19

Geometry as POSCAR:
```
LaReRh2
1.0
2.877 0.000 0.000
0.000 3.661 0.000
0.000 0.000 7.000
La Re Rh
1 1 2
direct
0.000 0.000 0.000
0.000 0.000 0.500
0.500 0.500 0.308
0.500 0.500 0.692
```


Crystalline LaReRh2 at its relaxed geometry, computed with PBE-GGA.

## Properties
Space group: Fm-3m
DFT formation energy (kcal/mol of atoms): 5.82
E above lowest polymorph (meV/atom): 297.3
Uncorrected energy (eV for the cell shown): -31.07

Geometry as POSCAR:
```
LaReRh2
1.0
0.000 3.324 3.324
3.324 0.000 3.324
3.324 3.324 0.000
La Re Rh
1 1 2
direct
0.000 0.000 0.000
0.500 0.500 0.500
0.250 0.250 0.250
0.750 0.750 0.750
```


Crystalline LaReRh2 at its relaxed geometry, computed with PBE-GGA.

## Properties
Space group: C2/m
DFT formation energy (kcal/mol of atoms): 2.24
E above lowest polymorph (meV/atom): 141.9
Uncorrected energy (eV for the cell shown): -31.69

Geometry as POSCAR:
```
LaReRh2
1.0
4.010 -1.442 0.000
4.010 1.442 0.000
-0.307 0.000 6.561
La Re Rh
1 1 2
direct
0.000 0.000 0.000
0.500 0.500 0.500
0.244 0.244 0.695
0.756 0.756 0.305
```


Crystalline LaReRh at its relaxed geometry, computed with PBE-GGA.

## Properties
Space group: P-6m2
DFT formation energy (kcal/mol of atoms): 0.75
E above lowest polymorph (meV/atom): 0.0
Uncorrected energy (eV for the cell shown): -24.63

Geometry as POSCAR:
```
LaReRh
1.0
4.239 0.000 0.000
-2.119 3.671 0.000
0.000 0.000 4.532
La Re Rh
1 1 1
direct
0.000 0.000 0.000
0.333 0.667 0.500
0.667 0.333 0.500
```


Crystalline LaRe2Rh at its relaxed geometry, computed with PBE-GGA.

## Properties
Space group: Cmmm
DFT formation energy (kcal/mol of atoms): 7.80
E above lowest polymorph (meV/atom): 241.9
Uncorrected energy (eV for the cell shown): -35.82

Geometry as POSCAR:
```
LaRe2Rh
1.0
2.488 -3.346 0.000
2.488 3.346 0.000
0.000 0.000 4.991
La Re Rh
1 2 1
direct
0.000 0.000 0.000
0.321 0.679 0.500
0.679 0.321 0.500
0.500 0.500 0.000
```


Q: Which value of E above lowest polymorph does entry 3 give?
A: 297.3 meV/atom


Q: The highest E above lowest polymorph belongs to which entry?
A: number 3


Q: The lowest DFT formation energy belongs to which entry?
A: number 2


Q: What is the E above lowest polymorph in the third record?
A: 297.3 meV/atom